No. 1
A plane-wave DFT calculation with GGA-PBE was carried out for a relaxed structure of Ho4ErRu.

Values from the calculation:
The value obtained for the formation energy is -128 meV/atom. Its symmetry is C2/m.

abc: 5.996 7.362 9.117
angles: 113.81 109.21 90.00
Sites, in units of the cell vectors:
Ho  0.386  0.134  0.771
Ru  0.738  0.500  0.999
Ho  0.614  0.866  0.229
Er  0.800  0.800  0.600
Ho  0.614  0.363  0.229
Ru  0.262  0.500  0.001
Ho  0.000  0.209  0.000
Ho  0.000  0.791  0.000
Ho  0.828  0.328  0.656
Er  0.200  0.200  0.400
Ho  0.172  0.672  0.344
Ho  0.386  0.637  0.771



No. 2
A plane-wave DFT calculation with GGA-PBE was carried out for a relaxed structure of BaTePt2.

Values from the calculation:
Its symmetry is Pmmm. The formation energy without anion corrections comes out at -203 meV per atom.

abc: 4.923 4.913 3.990
angles: 90.00 90.00 90.00
Sites, in units of the cell vectors:
Pt  0.500  0.500  0.000
Ba  0.000  0.500  0.500
Pt  0.000  0.000  0.000
Te  0.500  0.000  0.500



No. 3
A plane-wave DFT calculation with GGA-PBE was carried out for a relaxed structure of YCoPH.

Values from the calculation:
For the total DFT energy (no corrections), the calculation gives -0.482 Ry per atom. Its symmetry is P4/nmm.

abc: 3.762 3.762 7.435
angles: 90.00 90.00 90.00
Each line ends with the local moment (μB).
Sites, in units of the cell vectors:
P  0.000  0.500  0.838  0.01
P  0.500  0.000  0.162  0.01
Co  0.000  0.000  0.000  0.49
H  0.500  0.500  0.500  0.00
Y  0.000  0.500  0.326  0.01
H  0.000  0.000  0.500  0.00
Co  0.500  0.500  0.000  0.49
Y  0.500  0.000  0.674  0.01



No. 4
A plane-wave DFT calculation with GGA-PBE was carried out for a relaxed structure of Ir3PbC.

Values from the calculation:
The value obtained for the formation energy is 645 meV/atom. As for the energy above the most stable polymorph in this dataset: 0 meV per atom. Its symmetry is Pm-3m.

abc: 4.239 4.239 4.239
angles: 90.00 90.00 90.00
Sites, in units of the cell vectors:
Pb  0.500  0.500  0.500
C  0.000  0.000  0.000
Ir  0.000  0.000  0.500
Ir  0.000  0.500  0.000
Ir  0.500  0.000  0.000



No. 5
A plane-wave DFT calculation with GGA-PBE was carried out for a relaxed structure of Tb11Dy9Sc4.

Values from the calculation:
The value obtained for the formation energy is 45 meV/atom. Its symmetry is Cmmm.

abc: 3.565 15.018 15.018
angles: 113.09 90.00 90.00
Sites, in units of the cell vectors:
Tb  0.000  0.371  0.629
Dy  0.500  0.217  0.073
Tb  0.000  0.840  0.160
Dy  0.500  0.783  0.927
Tb  0.000  0.298  0.298
Dy  0.500  0.628  0.166
Dy  0.500  0.834  0.372
Sc  0.500  0.242  0.446
Sc  0.500  0.758  0.554
Dy  0.500  0.500  0.500
Tb  0.000  0.000  0.000
Dy  0.500  0.372  0.834
Tb  0.000  0.702  0.702
Tb  0.000  0.160  0.840
Sc  0.500  0.446  0.242
Tb  0.000  0.407  0.046
Tb  0.000  0.046  0.407
Sc  0.500  0.554  0.758
Dy  0.500  0.073  0.217
Dy  0.500  0.927  0.783
Tb  0.000  0.954  0.593
Tb  0.000  0.629  0.371
Dy  0.500  0.166  0.628
Tb  0.000  0.593  0.954



No. 6
A plane-wave DFT calculation with GGA-PBE was carried out for a relaxed structure of Sm2ZnTc.

Values from the calculation:
The value obtained for the formation energy is -84 meV/atom. Its symmetry is P4/mmm.

abc: 3.572 3.572 7.175
angles: 90.00 90.00 90.00
Sites, in units of the cell vectors:
Sm  0.000  0.000  0.768
Sm  0.000  0.000  0.232
Tc  0.500  0.500  0.000
Zn  0.500  0.500  0.500



No. 7
A plane-wave DFT calculation with GGA-PBE was carried out for a relaxed structure of K3Ce2TmSe6.

Values from the calculation:
Its symmetry is C2/m. The formation energy without anion corrections comes out at -1704 meV per atom.

abc: 7.469 7.469 8.062
angles: 98.89 98.89 120.01
Each line ends with the local moment (μB).
Sites, in units of the cell vectors:
Se  0.069  0.391  0.207  -0.01
K  0.500  0.500  0.500  0.00
Ce  0.667  0.333  0.000  0.96
Se  0.747  0.747  0.207  -0.01
Se  0.253  0.253  0.793  -0.01
Se  0.391  0.069  0.207  -0.01
Ce  0.333  0.667  0.000  0.96
Se  0.931  0.609  0.793  -0.01
K  0.832  0.168  0.500  0.00
K  0.168  0.832  0.500  0.00
Se  0.609  0.931  0.793  -0.01
Tm  0.000  0.000  0.000  0.01



No. 8
A plane-wave DFT calculation with GGA-PBE was carried out for a relaxed structure of CaFeNi2.

Values from the calculation:
The value obtained for the formation energy is 386 meV/atom. Its symmetry is I-42d.

abc: 4.529 4.529 8.463
angles: 74.48 74.48 90.00
Each line ends with the local moment (μB).
Sites, in units of the cell vectors:
Ca  0.250  0.750  0.500  -0.05
Ca  0.500  0.500  0.000  -0.05
Fe  0.000  0.000  0.000  2.77
Ni  0.375  0.170  0.750  0.58
Ni  0.830  0.125  0.250  0.58
Ni  0.920  0.625  0.250  0.59
Fe  0.750  0.250  0.500  2.78
Ni  0.875  0.080  0.750  0.59



We obtain calculated volume values of 344 97 105 76 740 92 370 161 Å³/cell for the records listed above, in that order.
We obtain D(E_F) values of 15.93 1.81 3.43 5.54 32.28 2.87 11.74 10.18 states/eV/cell for the records listed above, in that order.